Entry 1:
The following is a SCAN calculation of a crystal of Tl3Te relaxed with PBEsol, from Alexandria via LeMat-Bulk.

Output
* uncorrected formation energy: -4.117 kcal/mol of atoms
* energy: -63.760 eV/atom
* offset from the most stable computed form: 0.12 kcal/mol of atoms
* total magnetization: 0.00 μB per formula unit

```
data_Tl3Te
_chemical_formula_sum 'Tl12 Te4'
_cell_length_a 6.9627
_cell_length_b 6.9627
_cell_length_c 11.3667
_cell_angle_alpha 90.00
_cell_angle_beta 90.00
_cell_angle_gamma 120.00
_space_group_name_H-M_alt 'P 63/m m c'
_space_group_IT_number 194
_space_group_name_Hall '-P 6c 2c'
loop_
_atom_site_label
_atom_site_type_symbol
_atom_site_fract_x
_atom_site_fract_y
_atom_site_fract_z
Tl1 Tl 0.0000 0.5000 0.0000
Tl2 Tl 0.1650 0.3301 0.2500
Te1 Te 0.0000 0.0000 0.0000
Te2 Te 0.3333 0.6667 0.7500
```

Entry 2:
The following is a SCAN calculation of a crystal of TiInGe3 relaxed with PBEsol, from Alexandria via LeMat-Bulk.

Output
* formation energy from the elements: 0.246 eV per atom
* energy: -21.090 eV/atom
* total magnetization: 0.00 μB per formula unit

```
data_TiInGe3
_chemical_formula_sum 'Ti1 In1 Ge3'
_cell_length_a 4.888
_cell_length_b 4.888
_cell_length_c 4.888
_cell_angle_alpha 90.00
_cell_angle_beta 90.00
_cell_angle_gamma 90.00
_space_group_name_H-M_alt 'P m -3 m'
_space_group_IT_number 221
_space_group_name_Hall '-P 4 2 3'
loop_
_atom_site_label
_atom_site_type_symbol
_atom_site_fract_x
_atom_site_fract_y
_atom_site_fract_z
Ti1 Ti 0.000 0.000 0.000
In1 In 0.500 0.500 0.500
Ge1 Ge 0.000 0.000 0.500
```

Entry 3:
The following is a SCAN calculation of a crystal of BeCu2Ir relaxed with PBEsol, from Alexandria via LeMat-Bulk.

Output
* formation energy from the elements: -0.002 eV per atom
* energy: -26.464 eV/atom
* total magnetization: 0.00 μB per formula unit

```
data_BeCu2Ir
_chemical_formula_sum 'Be1 Cu2 Ir1'
_cell_length_a 2.577
_cell_length_b 3.643
_cell_length_c 4.923
_cell_angle_alpha 90.00
_cell_angle_beta 90.00
_cell_angle_gamma 90.00
_space_group_name_H-M_alt 'P m m m'
_space_group_IT_number 47
_space_group_name_Hall '-P 2 2'
loop_
_atom_site_label
_atom_site_type_symbol
_atom_site_fract_x
_atom_site_fract_y
_atom_site_fract_z
Be1 Be 0.000 0.000 0.000
Cu1 Cu 0.500 0.500 0.237
Ir1 Ir 0.000 0.000 0.500
```

Entry 4:
The following is a SCAN calculation of a crystal of BaCa2Mg relaxed with PBEsol, from Alexandria via LeMat-Bulk.

Output
* formation energy from the elements: -0.001 eV per atom
* energy: -15.964 eV/atom
* total magnetization: 0.02 μB per formula unit

```
data_BaCa2Mg
_chemical_formula_sum 'Ba1 Ca2 Mg1'
_cell_length_a 3.951
_cell_length_b 3.951
_cell_length_c 10.223
_cell_angle_alpha 90.00
_cell_angle_beta 90.00
_cell_angle_gamma 90.00
_space_group_name_H-M_alt 'P 4/m m m'
_space_group_IT_number 123
_space_group_name_Hall '-P 4 2'
loop_
_atom_site_label
_atom_site_type_symbol
_atom_site_fract_x
_atom_site_fract_y
_atom_site_fract_z
Ba1 Ba 0.000 0.000 0.000
Ca1 Ca 0.500 0.500 0.307
Mg1 Mg 0.000 0.000 0.500
```

Entry 5:
The following is a SCAN calculation of a crystal of BeAg2Cl relaxed with PBEsol, from Alexandria via LeMat-Bulk.

Output
* uncorrected formation energy: 1.107 kcal/mol of atoms
* energy: -18.718 eV/atom
* offset from the most stable computed form: 0.02 kcal/mol of atoms
* total magnetization: 0.00 μB per formula unit

```
data_BeAg2Cl
_chemical_formula_sum 'Be2 Ag4 Cl2'
_cell_length_a 3.360
_cell_length_b 4.940
_cell_length_c 7.530
_cell_angle_alpha 90.00
_cell_angle_beta 90.00
_cell_angle_gamma 90.00
_space_group_name_H-M_alt 'C m m m'
_space_group_IT_number 65
_space_group_name_Hall '-C 2 2'
loop_
_atom_site_label
_atom_site_type_symbol
_atom_site_fract_x
_atom_site_fract_y
_atom_site_fract_z
Be1 Be 0.000 0.000 0.000
Ag1 Ag 0.000 0.500 0.222
Cl1 Cl 0.000 0.000 0.500
```

Entry 6:
The following is a SCAN calculation of a crystal of Ba2Hg2Sb relaxed with PBEsol, from Alexandria via LeMat-Bulk.

Output
* uncorrected formation energy: -12.828 kcal/mol of atoms
* energy: -51.095 eV/atom
* total magnetization: 0.00 μB per formula unit

```
data_Ba2Hg2Sb
_chemical_formula_sum 'Ba4 Hg4 Sb2'
_cell_length_a 6.499
_cell_length_b 6.499
_cell_length_c 8.640
_cell_angle_alpha 90.00
_cell_angle_beta 90.00
_cell_angle_gamma 90.00
_space_group_name_H-M_alt 'I 4/m m m'
_space_group_IT_number 139
_space_group_name_Hall '-I 4 2'
loop_
_atom_site_label
_atom_site_type_symbol
_atom_site_fract_x
_atom_site_fract_y
_atom_site_fract_z
Ba1 Ba 0.000 0.500 0.250
Hg1 Hg 0.000 0.000 0.157
Sb1 Sb 0.000 0.000 0.500
```

- Which of these has the highest total magnetization?
  BaCa2Mg

- What is the total magnetization in the second record?
  0.00 μB per formula unit